Entry 1:
The following is a DFT calculation (PBE-GGA) of crystalline SrLa2MgOs at its relaxed geometry.

Summary:
The offset from the most stable computed form comes out at 0.0 kJ per mole of atoms. The calculation puts the size of the total moment at 0.0 μB/cell. The calculation puts the volume at 34.17 A^3/atom.

abc: 5.5745 5.5745 5.4977
angles: 90.00 90.00 90.00
Element x y z (fractional)
Os 0.0000 0.0000 0.0000
La 0.0000 0.5000 0.0000
La 0.5000 0.0000 0.0000
Sr 0.5000 0.5000 0.5000
Mg 0.0000 0.0000 0.5000

=====

Entry 2:
The following is a DFT calculation (PBE-GGA) of crystalline SrLaMg2Os at its relaxed geometry.

Summary:
The calculation puts the size of the total moment at 0.0 μB/cell. The total energy is -4.168 eV/atom. The calculation puts the volume at 30.12 A^3/atom.

abc: 5.3742 5.3742 5.2142
angles: 90.00 90.00 90.00
Element x y z (fractional)
Mg 0.0000 0.5000 0.0000
Mg 0.5000 0.0000 0.0000
Sr 0.5000 0.5000 0.5000
Os 0.0000 0.0000 0.0000
La 0.0000 0.0000 0.5000

=====

- Which formula does entry 2 have?
  SrLaMg2Os

=====

- The lowest volume belongs to which entry?
  SrLaMg2Os